# 1
Density functional theory data (GGA-PBE) for an optimized crystal structure of Tm3Lu4Ni2Te2.

```
Tm3Lu4Ni2Te2
1.0
-1.903 7.652 4.711
1.903 -7.652 4.711
1.903 7.652 -4.711
Tm Lu Ni Te
3 4 2 2
Direct
0.000 0.000 0.000 Tm
0.284 0.419 0.865 Tm
0.553 0.419 0.135 Tm
0.309 0.624 0.685 Lu
0.625 0.272 0.353 Lu
0.919 0.272 0.647 Lu
0.938 0.624 0.315 Lu
0.167 0.931 0.236 Ni
0.695 0.931 0.764 Ni
0.267 0.767 0.500 Te
0.662 0.662 0.000 Te
```

## Properties
Symmetry: Imm2 (44)
Calculated total energy: -56.41 eV/f.u.

# 2
Density functional theory data (GGA-PBE) for an optimized crystal structure of TaCdAsO.

```
TaCdAsO
1.0
4.193 0.000 0.000
0.000 4.193 0.000
0.000 0.000 8.399
Ta Cd As O
2 2 2 2
Direct
0.250 0.750 0.000 Ta
0.750 0.250 0.000 Ta
0.250 0.250 0.407 Cd
0.750 0.750 0.593 Cd
0.250 0.250 0.816 As
0.750 0.750 0.184 As
0.250 0.750 0.500 O
0.750 0.250 0.500 O
```

## Properties
Symmetry: P4/nmm (129)
Calculated total energy: -23.57 eV/f.u.

# 3
Density functional theory data (GGA-PBE) for an optimized crystal structure of La2PrCu2Ge4Ir2.

```
La2PrCu2Ge4Ir2
1.0
-2.107 2.121 12.531
2.107 -2.121 12.531
2.107 2.121 -12.531
La Pr Cu Ge Ir
2 1 2 4 2
Direct
0.150 0.150 0.000 La
0.850 0.850 0.000 La
0.500 0.000 0.500 Pr
0.404 0.404 0.000 Cu
0.596 0.596 0.000 Cu
0.051 0.551 0.500 Ge
0.305 0.305 0.000 Ge
0.695 0.695 0.000 Ge
0.949 0.449 0.500 Ge
0.251 0.751 0.500 Ir
0.749 0.249 0.500 Ir
```

## Properties
Symmetry: Immm (71)
Calculated total energy: -66.32 eV/f.u.

# 4
Density functional theory data (GGA-PBE) for an optimized crystal structure of LiYTaCo.

```
LiYTaCo
1.0
6.519 0.000 0.000
0.000 6.519 0.000
0.000 0.000 6.519
Li Y Ta Co
4 4 4 4
Direct
0.000 0.000 0.000 Li
0.000 0.500 0.500 Li
0.500 0.000 0.500 Li
0.500 0.500 0.000 Li
0.250 0.250 0.750 Y
0.250 0.750 0.250 Y
0.750 0.250 0.250 Y
0.750 0.750 0.750 Y
0.250 0.250 0.250 Ta
0.250 0.750 0.750 Ta
0.750 0.250 0.750 Ta
0.750 0.750 0.250 Ta
0.000 0.000 0.500 Co
0.000 0.500 0.000 Co
0.500 0.000 0.000 Co
0.500 0.500 0.500 Co
```

## Properties
Symmetry: F-43m (216)
Calculated total energy: -26.33 eV/f.u.

# 5
Density functional theory data (GGA-PBE) for an optimized crystal structure of HfNbAlCu.

```
HfNbAlCu
1.0
6.473 0.000 0.000
0.000 6.473 0.000
0.000 0.000 6.473
Hf Nb Al Cu
4 4 4 4
Direct
0.000 0.000 0.000 Hf
0.000 0.500 0.500 Hf
0.500 0.000 0.500 Hf
0.500 0.500 0.000 Hf
0.250 0.250 0.250 Nb
0.250 0.750 0.750 Nb
0.750 0.250 0.750 Nb
0.750 0.750 0.250 Nb
0.000 0.000 0.500 Al
0.000 0.500 0.000 Al
0.500 0.000 0.000 Al
0.500 0.500 0.500 Al
0.250 0.250 0.750 Cu
0.250 0.750 0.250 Cu
0.750 0.250 0.250 Cu
0.750 0.750 0.750 Cu
```

## Properties
Symmetry: F-43m (216)
Calculated total energy: -26.94 eV/f.u.

# 6
Density functional theory data (GGA-PBE) for an optimized crystal structure of ErMgCuTe3.

```
ErMgCuTe3
1.0
2.049 -6.948 0.000
2.049 6.948 0.000
0.000 0.000 11.178
Er Mg Cu Te
2 2 2 6
Direct
0.000 0.000 0.000 Er
0.000 0.000 0.500 Er
0.227 0.773 0.750 Mg
0.773 0.227 0.250 Mg
0.476 0.524 0.250 Cu
0.524 0.476 0.750 Cu
0.101 0.899 0.250 Te
0.351 0.649 0.074 Te
0.351 0.649 0.426 Te
0.649 0.351 0.574 Te
0.649 0.351 0.926 Te
0.899 0.101 0.750 Te
```

## Properties
Symmetry: Cmcm (63)
Calculated total energy: -23.94 eV/f.u.

# 7
Density functional theory data (GGA-PBE) for an optimized crystal structure of PuCoW.

```
PuCoW
1.0
5.978 0.000 0.000
0.000 5.978 0.000
0.000 0.000 5.978
Pu Co W
4 4 4
Direct
0.000 0.000 0.000 Pu
0.000 0.500 0.500 Pu
0.500 0.000 0.500 Pu
0.500 0.500 0.000 Pu
0.250 0.250 0.250 Co
0.250 0.750 0.750 Co
0.750 0.250 0.750 Co
0.750 0.750 0.250 Co
0.250 0.250 0.750 W
0.250 0.750 0.250 W
0.750 0.250 0.250 W
0.750 0.750 0.750 W
```

## Properties
Symmetry: F-43m (216)
ΔH_f (0 K): 1340 meV per atom

# 8
Density functional theory data (GGA-PBE) for an optimized crystal structure of LiTlTeOs.

```
LiTlTeOs
1.0
6.702 0.000 0.000
0.000 6.702 0.000
0.000 0.000 6.702
Li Tl Te Os
4 4 4 4
Direct
0.000 0.000 0.000 Li
0.000 0.500 0.500 Li
0.500 0.000 0.500 Li
0.500 0.500 0.000 Li
0.250 0.250 0.250 Tl
0.250 0.750 0.750 Tl
0.750 0.250 0.750 Tl
0.750 0.750 0.250 Tl
0.250 0.250 0.750 Te
0.250 0.750 0.250 Te
0.750 0.250 0.250 Te
0.750 0.750 0.750 Te
0.000 0.000 0.500 Os
0.000 0.500 0.000 Os
0.500 0.000 0.000 Os
0.500 0.500 0.500 Os
```

## Properties
Symmetry: F-43m (216)
Calculated total energy: -17.32 eV/f.u.

# 9
Density functional theory data (GGA-PBE) for an optimized crystal structure of TcWAu2.

```
TcWAu2
1.0
6.418 0.000 0.000
0.000 6.418 0.000
0.000 0.000 6.418
Tc W Au
4 4 8
Direct
0.000 0.000 0.000 Tc
0.000 0.500 0.500 Tc
0.500 0.000 0.500 Tc
0.500 0.500 0.000 Tc
0.250 0.250 0.250 W
0.250 0.750 0.750 W
0.750 0.250 0.750 W
0.750 0.750 0.250 W
0.000 0.000 0.500 Au
0.000 0.500 0.000 Au
0.250 0.250 0.750 Au
0.250 0.750 0.250 Au
0.500 0.000 0.000 Au
0.500 0.500 0.500 Au
0.750 0.250 0.250 Au
0.750 0.750 0.750 Au
```

## Properties
Symmetry: F-43m (216)
ΔH_f (0 K): 553 meV per atom

# 10
Density functional theory data (GGA-PBE) for an optimized crystal structure of NdSmBe.

```
NdSmBe
1.0
6.889 0.000 0.000
0.000 6.889 0.000
0.000 0.000 6.889
Nd Sm Be
4 4 4
Direct
0.000 0.000 0.000 Nd
0.000 0.500 0.500 Nd
0.500 0.000 0.500 Nd
0.500 0.500 0.000 Nd
0.250 0.250 0.750 Sm
0.250 0.750 0.250 Sm
0.750 0.250 0.250 Sm
0.750 0.750 0.750 Sm
0.000 0.000 0.500 Be
0.000 0.500 0.000 Be
0.500 0.000 0.000 Be
0.500 0.500 0.500 Be
```

## Properties
Symmetry: F-43m (216)
Calculated total energy: -10.67 eV/f.u.

# 11
Density functional theory data (GGA-PBE) for an optimized crystal structure of NdScGa2.

```
NdScGa2
1.0
4.032 0.000 0.000
0.000 4.279 0.000
0.000 0.000 10.879
Nd Sc Ga
2 2 4
Direct
0.000 0.000 0.000 Nd
0.000 0.500 0.500 Nd
0.500 0.000 0.276 Sc
0.500 0.500 0.776 Sc
0.000 0.000 0.722 Ga
0.000 0.500 0.222 Ga
0.500 0.000 0.571 Ga
0.500 0.500 0.071 Ga
```

## Properties
Symmetry: Amm2 (38)
Calculated total energy: -19.40 eV/f.u.

# 12
Density functional theory data (GGA-PBE) for an optimized crystal structure of Hf4InSbN2.

```
Hf4InSbN2
1.0
3.320 0.000 0.000
-1.660 2.875 0.000
0.000 0.000 14.107
Hf In Sb N
4 1 1 2
Direct
0.000 0.000 0.158 Hf
0.000 0.000 0.842 Hf
0.667 0.333 0.329 Hf
0.667 0.333 0.671 Hf
0.000 0.000 0.500 In
0.667 0.333 0.000 Sb
0.333 0.667 0.246 N
0.333 0.667 0.754 N
```

## Properties
Symmetry: P-6m2 (187)
Calculated total energy: -71.27 eV/f.u.